# 1
Cd2GeAs4Pb (GGA-PBE, relaxed); symmetry = No. 82
1.0
6.1648 0.0000 0.0000
0.0000 6.1648 0.0000
0.0000 0.0000 12.0204
Cd Ge As Pb
4 2 8 2
direct
0.0000 0.0000 0.0000
0.0000 0.5000 0.2500
0.5000 0.0000 0.7500
0.5000 0.5000 0.5000
0.0000 0.0000 0.5000
0.5000 0.5000 0.0000
0.2295 0.7592 0.3834
0.2408 0.2295 0.6166
0.2592 0.2705 0.1166
0.2705 0.7408 0.8834
0.7295 0.2592 0.8834
0.7408 0.7295 0.1166
0.7592 0.7705 0.6166
0.7705 0.2408 0.3834
0.0000 0.5000 0.7500
0.5000 0.0000 0.2500

# 2
Li2Mg2FeSn2Pt (GGA-PBE, relaxed); spin magnetization = 2.17 μB/cell; symmetry = No. 115
1.0
4.5137 0.0000 0.0000
0.0000 4.5137 0.0000
0.0000 0.0000 6.5112
Li Mg Fe Sn Pt
2 2 1 2 1
direct
0.0000 0.0000 0.0000
0.5000 0.5000 0.5000
0.0000 0.5000 0.2463
0.5000 0.0000 0.7537
0.0000 0.0000 0.5000
0.0000 0.5000 0.7345
0.5000 0.0000 0.2655
0.5000 0.5000 0.0000

# 3
Zn2Sn2AsN3 (GGA-PBE, relaxed); symmetry = No. 5
1.0
11.2246 0.0000 0.0000
0.0000 5.0709 0.0000
-2.3240 0.0000 4.5570
Zn Sn As N
4 4 2 6
direct
0.1431 0.0000 0.4324
0.3569 0.5000 0.5676
0.6431 0.5000 0.4324
0.8569 0.0000 0.5676
0.1327 0.4406 0.8591
0.3673 0.9406 0.1409
0.6327 0.9406 0.8591
0.8673 0.4406 0.1409
0.0000 0.7596 0.0000
0.5000 0.2596 0.0000
0.0000 0.2127 0.5000
0.2497 0.2164 0.2463
0.2503 0.7164 0.7537
0.5000 0.7127 0.5000
0.7503 0.2164 0.7537
0.7497 0.7164 0.2463

# 4
Cs2Nb2H2O7 (GGA-PBE, relaxed); spin magnetization = 0.00 μB/cell; symmetry = No. 57
1.0
5.7294 0.0000 0.0000
0.0000 18.4757 0.0000
0.0000 0.0000 9.3736
Cs Nb H O
8 8 8 28
direct
0.0930 0.1975 0.2500
0.0930 0.3025 0.7500
0.0960 0.0286 0.7500
0.0960 0.4714 0.2500
0.9040 0.5286 0.7500
0.9040 0.9714 0.2500
0.9070 0.6975 0.2500
0.9070 0.8025 0.7500
0.3886 0.6555 0.5573
0.3886 0.6555 0.9427
0.3886 0.8445 0.0573
0.3886 0.8445 0.4427
0.6114 0.1555 0.5573
0.6114 0.1555 0.9427
0.6114 0.3445 0.0573
0.6114 0.3445 0.4427
0.4719 0.0611 0.1681
0.4719 0.0611 0.3319
0.4719 0.4389 0.6681
0.4719 0.4389 0.8319
0.5281 0.5611 0.1681
0.5281 0.5611 0.3319
0.5281 0.9389 0.6681
0.5281 0.9389 0.8319
0.2659 0.7500 0.0000
0.2659 0.7500 0.5000
0.2786 0.6369 0.7500
0.2786 0.8631 0.2500
0.2857 0.5864 0.0642
0.2857 0.5864 0.4358
0.2857 0.9136 0.5642
0.2857 0.9136 0.9358
0.2972 0.1575 0.5534
0.2972 0.1575 0.9466
0.2972 0.3425 0.0534
0.2972 0.3425 0.4466
0.3658 0.0512 0.2500
0.3658 0.4488 0.7500
0.6342 0.5512 0.2500
0.6342 0.9488 0.7500
0.7028 0.6575 0.5534
0.7028 0.6575 0.9466
0.7028 0.8425 0.0534
0.7028 0.8425 0.4466
0.7143 0.0864 0.0642
0.7143 0.0864 0.4358
0.7143 0.4136 0.5642
0.7143 0.4136 0.9358
0.7214 0.1369 0.7500
0.7214 0.3631 0.2500
0.7341 0.2500 0.0000
0.7341 0.2500 0.5000

no.,uncorrected energy (eV/atom)
1,-3.64
2,-4.04
3,-4.89
4,-6.91